1.
Tl2PdPt: relaxed, GGA-PBE.

Structure (POSCAR):
```
Tl2PdPt
1.0
-1.417 -4.500 0.925
-4.685 -1.024 0.335
-2.144 -2.598 -3.430
Pd Tl Pt
1 2 1
direct
0.000 0.000 0.000 Pd
0.750 0.750 0.750 Tl
0.250 0.250 0.250 Tl
0.500 0.500 0.500 Pt
```

Values from the calculation:
Volume: 19.6 Å³/atom
N(E_F): 1.6 states/eV per cell
M_tot: 0.000 μB/atom
Calculated formation energy: -18 meV per atom

2.
BaLi2Mg2: relaxed, GGA-PBE.

Structure (POSCAR):
```
BaLi2Mg2
1.0
4.926 -0.253 0.001
-1.803 4.591 0.001
-0.001 -0.001 7.118
Li Ba Mg
2 1 2
direct
0.500 0.500 0.683 Li
0.500 0.500 0.317 Li
0.000 0.000 0.000 Ba
0.826 0.174 0.500 Mg
0.174 0.826 0.500 Mg
```

Values from the calculation:
Volume: 31.5 Å³/atom
N(E_F): 3.5 states/eV per cell
M_tot: 0.000 μB/atom
Calculated formation energy: 60 meV per atom

3.
GePAu2: relaxed, GGA-PBE.

Structure (POSCAR):
```
GePAu2
1.0
-0.534 -4.444 1.327
-3.406 -1.154 2.976
-3.675 -2.458 -1.498
Ge Au P
1 2 1
direct
0.500 0.500 0.500 Ge
0.750 0.750 0.750 Au
0.250 0.250 0.250 Au
0.000 0.000 0.000 P
```

Values from the calculation:
Volume: 18.0 Å³/atom
N(E_F): 1.6 states/eV per cell
M_tot: 0.000 μB/atom
Calculated formation energy: 307 meV per atom

> The lowest volume belongs to which entry?

GePAu2